Run 1
This record from the Alexandria database describes crystalline NdGdPd2 at its relaxed geometry. The functional is GGA-PBE.

Crystal system: trigonal

Cell: 4.1690 4.1690 20.3886 Å, 90.00 90.00 120.00°
Space group R-3m (No. 166, hexagonal axes)
Inequivalent atoms, fractional coordinates:
Nd1 0.0000 0.0000 0.0000 (multiplicity 3)
Gd1 0.0000 0.0000 0.5000 (multiplicity 3)
Pd1 0.0000 0.0000 0.2473 (multiplicity 6)


Run 2
This record from the Alexandria database describes crystalline NdGdPd2 at its relaxed geometry. The functional is GGA-PBE.

Crystal system: cubic

Cell: 7.168 7.168 7.168 Å, 90.00 90.00 90.00°
Space group Fm-3m (No. 225)
Inequivalent atoms, fractional coordinates:
Nd1 0.000 0.000 0.000 (multiplicity 4)
Gd1 0.000 0.000 0.500 (multiplicity 4)
Pd1 0.250 0.250 0.250 (multiplicity 8)


Most stable: run 2


Run 1
This record from the Alexandria database describes crystalline PmNd2Gd at its relaxed geometry. The functional is GGA-PBE.

Crystal system: tetragonal

Cell: 5.164 5.164 5.155 Å, 90.00 90.00 90.00°
Space group P4/mmm (No. 123)
Inequivalent atoms, fractional coordinates:
Pm1 0.000 0.000 0.000 (multiplicity 1)
Nd1 0.000 0.500 0.500 (multiplicity 2)
Gd1 0.500 0.500 0.000 (multiplicity 1)


Run 2
This record from the Alexandria database describes crystalline PmNd2Gd at its relaxed geometry. The functional is GGA-PBE.

Crystal system: trigonal

Cell: 3.5712 3.5712 37.9251 Å, 90.00 90.00 120.00°
Space group R-3m (No. 166, hexagonal axes)
Inequivalent atoms, fractional coordinates:
Pm1 0.0000 0.0000 0.0000 (multiplicity 3)
Nd1 0.0000 0.0000 0.4118 (multiplicity 6)
Gd1 0.0000 0.0000 0.5000 (multiplicity 3)


Most stable: run 1


Run 1
This record from the Alexandria database describes crystalline PmNd2Gd at its relaxed geometry. The functional is GGA-PBE.

Crystal system: tetragonal

Cell: 3.657 3.657 10.298 Å, 90.00 90.00 90.00°
Space group P4/mmm (No. 123)
Inequivalent atoms, fractional coordinates:
Pm1 0.000 0.000 0.000 (multiplicity 1)
Nd1 0.500 0.500 0.251 (multiplicity 2)
Gd1 0.000 0.000 0.500 (multiplicity 1)


Run 2
This record from the Alexandria database describes crystalline PmNd2Gd at its relaxed geometry. The functional is GGA-PBE.

Crystal system: cubic

Cell: 8.211 8.211 8.211 Å, 90.00 90.00 90.00°
Space group Fm-3m (No. 225)
Inequivalent atoms, fractional coordinates:
Pm1 0.000 0.000 0.000 (multiplicity 4)
Nd1 0.250 0.250 0.250 (multiplicity 8)
Gd1 0.000 0.000 0.500 (multiplicity 4)


Most stable: run 1